Here is a relaxed BaCuO2F crystal from Alexandria via LeMat-Bulk. Energies are from PBE.

Summary:
As for the symmetry: P4/mmm. As for the total energy: -5.35 eV per atom.

Lattice parameters (Å, degrees): 3.888 3.888 4.480 90.00 90.00 90.00
Positions (direct):
1 Ba 0.000 0.000 0.000
2 Cu 0.500 0.500 0.500
3 O 0.000 0.500 0.500
4 O 0.500 0.000 0.500
5 F 0.500 0.500 0.000

---

Here is a relaxed AlZnCl2 crystal from Alexandria via LeMat-Bulk. Energies are from PBE.

Summary:
As for the symmetry: I-42d. As for the total energy: -2.68 eV per atom.

Lattice parameters (Å, degrees): 9.721 9.721 5.092 90.00 90.00 90.00
Positions (direct):
1 Al 0.000 0.000 0.000
2 Al 0.000 0.500 0.250
3 Al 0.500 0.000 0.750
4 Al 0.500 0.500 0.500
5 Zn 0.000 0.000 0.500
6 Zn 0.000 0.500 0.750
7 Zn 0.500 0.000 0.250
8 Zn 0.500 0.500 0.000
9 Cl 0.004 0.250 0.125
10 Cl 0.250 0.504 0.375
11 Cl 0.250 0.996 0.875
12 Cl 0.496 0.250 0.625
13 Cl 0.504 0.750 0.625
14 Cl 0.750 0.004 0.875
15 Cl 0.750 0.496 0.375
16 Cl 0.996 0.750 0.125